(1)
Compound: TiInSb2Te
Source: Alexandria via LeMat-Bulk
Functional: PBE
Structure: relaxed

SG: P4/mmm (123)
Raw formation energy, meV/atom: 15.5

Lattice parameters (Å, degrees): 5.3290 5.3290 5.3934 90.00 90.00 90.00
With the nearest neighbours (Å) after each atom.
Fractional coordinates of all 5 atoms:
Sb 0.0000 0.5000 0.0000  2 Ti 2.66
Te 0.0000 0.0000 0.5000  2 Ti 2.70
In 0.5000 0.5000 0.5000  4 Te 3.77, 8 Sb 3.79
Sb 0.5000 0.0000 0.0000  2 Ti 2.66
Ti 0.0000 0.0000 0.0000  4 Sb 2.66, 2 Te 2.70

---

(2)
Compound: LaPbCl2
Source: Alexandria via LeMat-Bulk
Functional: PBE
Structure: relaxed

SG: P2/m (10)
Raw formation energy, meV/atom: -1231.2

Lattice parameters (Å, degrees): 4.9640 4.0159 5.8856 91.17 90.00 90.00
With the nearest neighbours (Å) after each atom.
Fractional coordinates of all 4 atoms:
Cl 0.0000 0.4509 0.4870  2 La 2.95, 2 Pb 3.15, 1 Cl 3.19
Pb 0.5000 0.7500 0.7500  4 Cl 3.15
Cl 0.0000 0.0491 0.0130  2 La 2.95, 2 Pb 3.15, 1 Cl 3.19
La 0.5000 0.2500 0.2500  4 Cl 2.95

---

(3)
Compound: ScCd3B
Source: Alexandria via LeMat-Bulk
Functional: PBE
Structure: relaxed

ΔH_f (0 K), eV/atom: 1.597
SG: Pm-3m (221)

Lattice parameters (Å, degrees): 5.5959 5.5959 5.5959 90.00 90.00 90.00
With the nearest neighbours (Å) after each atom.
Fractional coordinates of all 5 atoms:
B 0.5000 0.5000 0.5000  12 Cd 3.96
Cd 0.0000 0.0000 0.5000  2 Sc 2.80
Cd 0.5000 0.0000 0.0000  2 Sc 2.80
Sc 0.0000 0.0000 0.0000  6 Cd 2.80
Cd 0.0000 0.5000 0.0000  2 Sc 2.80

---

(4)
Compound: LiHoTe2O6
Source: Alexandria via LeMat-Bulk
Functional: PBE
Structure: relaxed

SG: C2/c (15)
Raw formation energy, meV/atom: -1773.3

Lattice parameters (Å, degrees): 5.5444 7.5163 7.5163 84.50 84.27 84.27
With the nearest neighbours (Å) after each atom.
Fractional coordinates of all 20 atoms:
O 0.4697 0.1544 0.1058  1 Te 2.13, 1 Ho 2.21
O 0.5629 0.1923 0.6310  1 Li 2.02, 1 Te 2.05, 1 Ho 2.21
Te 0.6040 0.1648 0.3604  4 O 1.99-2.13
Te 0.8960 0.6396 0.8352  4 O 1.99-2.13
O 0.4371 0.8077 0.3690  1 Li 2.02, 1 Te 2.05, 1 Ho 2.21
O 0.5303 0.8456 0.8942  1 Te 2.13, 1 Ho 2.21
O 0.2604 0.2972 0.3917  1 Li 1.98, 2 Te 1.99-2.06
O 0.9371 0.3690 0.8077  1 Li 2.02, 1 Te 2.05, 1 Ho 2.21
O 0.9697 0.1058 0.1544  1 Te 2.13, 1 Ho 2.21
Te 0.1040 0.3604 0.1648  4 O 1.99-2.13
Ho 0.2500 0.8773 0.1227  4 O 2.21
O 0.7604 0.3917 0.2972  1 Li 1.98, 2 Te 1.99-2.06
Te 0.3960 0.8352 0.6396  4 O 1.99-2.13
Li 0.2500 0.3556 0.6444  4 O 1.98-2.02
O 0.2396 0.6083 0.7028  1 Li 1.98, 2 Te 1.99-2.06
O 0.0629 0.6310 0.1923  1 Li 2.02, 1 Te 2.05, 1 Ho 2.21
Li 0.7500 0.6444 0.3556  4 O 1.98-2.02
Ho 0.7500 0.1227 0.8773  4 O 2.21
O 0.0303 0.8942 0.8456  1 Te 2.13, 1 Ho 2.21
O 0.7396 0.7028 0.6083  1 Li 1.98, 2 Te 1.99-2.06

---

(5)
Compound: KBaW2
Source: Alexandria via LeMat-Bulk
Functional: PBE
Structure: relaxed

ΔH_f (0 K), eV/atom: 1.699
SG: P4/mmm (123)

Lattice parameters (Å, degrees): 5.9001 4.0030 4.0030 90.00 90.00 90.00
With the nearest neighbours (Å) after each atom.
Fractional coordinates of all 4 atoms:
Ba 0.5000 0.5000 0.0000  4 K 2.83
W 0.0000 0.5000 0.5000  4 W 2.83
K 0.5000 0.0000 0.5000  4 Ba 2.83
W 0.0000 0.0000 0.0000  4 W 2.83

---

(6)
Compound: Th2CdPd
Source: Alexandria via LeMat-Bulk
Functional: PBE
Structure: relaxed

ΔH_f (0 K), eV/atom: -0.355
SG: P4/mmm (123)

Lattice parameters (Å, degrees): 3.4260 3.4260 8.7803 90.00 90.00 90.00
With the nearest neighbours (Å) after each atom.
Fractional coordinates of all 4 atoms:
Th 0.0000 0.0000 0.2251  4 Pd 3.13, 4 Cd 3.42, 4 Th 3.43
Pd 0.5000 0.5000 0.0000  8 Th 3.13, 4 Pd 3.43
Th 0.0000 0.0000 0.7749  4 Pd 3.13, 4 Cd 3.42, 4 Th 3.43
Cd 0.5000 0.5000 0.5000  8 Th 3.42, 4 Cd 3.43

---

How do the records compare in total magnetization? In the order shown, they have 0.00 0.00 1.05 0.00 0.00 0.00 μB per cell.
How do the records compare in DOS at the Fermi energy? In the order shown, they have 3.64 2.34 8.33 0.00 4.69 5.00 states/eV/f.u..